A plane-wave DFT calculation with PBE was carried out for a relaxed Sn2BiPd crystal.

```
Sn2BiPd
1.0
5.164 0.000 0.000
0.000 5.164 0.000
0.000 0.000 17.487
Sn Bi Pd
8 4 4
Direct
0.163 0.250 0.125
0.250 0.663 0.375
0.250 0.837 0.875
0.337 0.250 0.625
0.663 0.750 0.625
0.750 0.163 0.875
0.750 0.337 0.375
0.837 0.750 0.125
0.000 0.000 0.500
0.000 0.500 0.750
0.500 0.000 0.250
0.500 0.500 0.000
0.000 0.000 0.000
0.000 0.500 0.250
0.500 0.000 0.750
0.500 0.500 0.500
```

Computed properties:
Raw total energy (eV/f.u.): -17.11
V (Å³/cell): 466.3
Symmetry: I-42d (122)